*i*
# Tb2Pr6Dy3 (PBE-GGA, relaxed)
data_Tb2Pr6Dy3
_chemical_formula_sum 'Tb2 Pr6 Dy3'
_symmetry_space_group_name_H-M 'P -1'
_symmetry_Int_Tables_number 2
_cell_length_a 6.3043
_cell_length_b 8.1143
_cell_length_c 8.1511
_cell_angle_alpha 107.37
_cell_angle_beta 97.32
_cell_angle_gamma 104.93
loop_
_symmetry_equiv_pos_as_xyz
'x,y,z'
'-x,-y,-z'
loop_
_atom_site_label
_atom_site_type_symbol
_atom_site_fract_x
_atom_site_fract_y
_atom_site_fract_z
_atom_site_occupancy
Tb1 Tb 0.2293 0.4112 0.0464 1
Pr1 Pr 0.0476 0.6819 0.4078 1
Pr2 Pr 0.1361 0.0462 0.2300 1
Pr3 Pr 0.3203 0.7709 0.8655 1
Dy1 Dy 0.4097 0.1390 0.6826 1
Dy2 Dy 0.5000 0.5000 0.5000 1
# D(E_F) = 14.8 states/eV per cell
# ρ = 7.3 g cm⁻³



*ii*
# Tb2Pr6Dy3 (PBE-GGA, relaxed)
data_Tb2Pr6Dy3
_chemical_formula_sum 'Tb4 Pr12 Dy6'
_symmetry_space_group_name_H-M 'I 4/m m m'
_symmetry_Int_Tables_number 139
_symmetry_space_group_name_Hall '-I 4 2'
_cell_length_a 4.7806
_cell_length_b 4.7806
_cell_length_c 34.3742
_cell_angle_alpha 90.00
_cell_angle_beta 90.00
_cell_angle_gamma 90.00
loop_
_atom_site_label
_atom_site_type_symbol
_atom_site_fract_x
_atom_site_fract_y
_atom_site_fract_z
_atom_site_occupancy
Tb1 Tb 0.0000 0.0000 0.0446 1
Pr1 Pr 0.0000 0.0000 0.2069 1
Pr2 Pr 0.0000 0.5000 0.1196 1
Dy1 Dy 0.0000 0.0000 0.3068 1
Dy2 Dy 0.0000 0.0000 0.5000 1
# D(E_F) = 32.6 states/eV per cell
# ρ = 7.0 g cm⁻³



*i* has the most favorable energy; the next structure is 277 meV/atom above.



*i*
# Tb5Pr3Dy4 (PBE-GGA, relaxed)
data_Tb5Pr3Dy4
_chemical_formula_sum 'Tb5 Pr3 Dy4'
_symmetry_space_group_name_H-M 'P -1'
_symmetry_Int_Tables_number 2
_cell_length_a 6.2207
_cell_length_b 7.1809
_cell_length_c 8.7984
_cell_angle_alpha 90.01
_cell_angle_beta 90.13
_cell_angle_gamma 90.17
loop_
_symmetry_equiv_pos_as_xyz
'x,y,z'
'-x,-y,-z'
loop_
_atom_site_label
_atom_site_type_symbol
_atom_site_fract_x
_atom_site_fract_y
_atom_site_fract_z
_atom_site_occupancy
Tb1 Tb 0.0000 0.0000 0.0000 1
Tb2 Tb 0.3352 0.4996 0.3332 1
Tb3 Tb 0.4986 0.7517 0.9997 1
Pr1 Pr 0.0000 0.5000 0.0000 1
Pr2 Pr 0.1662 0.2490 0.6656 1
Dy1 Dy 0.1686 0.7514 0.6665 1
Dy2 Dy 0.3337 0.0002 0.3327 1
# D(E_F) = 15.6 states/eV per cell
# ρ = 7.9 g cm⁻³



*ii*
# Tb5Pr3Dy4 (PBE-GGA, relaxed)
data_Tb5Pr3Dy4
_chemical_formula_sum 'Tb10 Pr6 Dy8'
_symmetry_space_group_name_H-M 'C 1 2/m 1'
_symmetry_Int_Tables_number 12
_cell_length_a 18.2608
_cell_length_b 5.7763
_cell_length_c 8.6914
_cell_angle_alpha 90.00
_cell_angle_beta 117.74
_cell_angle_gamma 90.00
loop_
_symmetry_equiv_pos_as_xyz
'x,y,z'
'-x,-y,-z'
'-x,y,-z'
'x,-y,z'
'x+1/2,y+1/2,z'
'-x+1/2,-y+1/2,-z'
'-x+1/2,y+1/2,-z'
'x+1/2,-y+1/2,z'
loop_
_atom_site_label
_atom_site_type_symbol
_atom_site_fract_x
_atom_site_fract_y
_atom_site_fract_z
_atom_site_occupancy
Tb1 Tb 0.0000 0.0000 0.0000 1
Tb2 Tb 0.1062 0.5000 0.4301 1
Tb3 Tb 0.1535 0.5000 0.8768 1
Pr1 Pr 0.0000 0.5000 0.0000 1
Pr2 Pr 0.1859 0.0000 0.2118 1
Dy1 Dy 0.0295 0.0000 0.6920 1
Dy2 Dy 0.2020 0.0000 0.6531 1
# D(E_F) = 30.2 states/eV per cell
# ρ = 7.6 g cm⁻³



*i* has the most favorable energy; the next structure is 254 meV/atom above.



*i*
# TbPr6Dy2 (PBE-GGA, relaxed)
data_TbPr6Dy2
_chemical_formula_sum 'Tb2 Pr12 Dy4'
_symmetry_space_group_name_H-M 'C m m m'
_symmetry_Int_Tables_number 65
_symmetry_space_group_name_Hall '-C 2 2'
_cell_length_a 9.5069
_cell_length_b 17.9041
_cell_length_c 3.6878
_cell_angle_alpha 90.00
_cell_angle_beta 90.00
_cell_angle_gamma 90.00
loop_
_atom_site_label
_atom_site_type_symbol
_atom_site_fract_x
_atom_site_fract_y
_atom_site_fract_z
_atom_site_occupancy
Tb1 Tb 0.0000 0.0000 0.0000 1
Pr1 Pr 0.1753 0.3345 0.0000 1
Pr2 Pr 0.1835 0.5000 0.5000 1
Dy1 Dy 0.0000 0.1764 0.5000 1
# D(E_F) = 25.1 states/eV per cell
# ρ = 7.0 g cm⁻³



*ii*
# TbPr6Dy2 (PBE-GGA, relaxed)
data_TbPr6Dy2
_chemical_formula_sum 'Tb4 Pr24 Dy8'
_symmetry_space_group_name_H-M 'C 1 2/c 1'
_symmetry_Int_Tables_number 15
_cell_length_a 16.6154
_cell_length_b 11.9423
_cell_length_c 6.3015
_cell_angle_alpha 90.00
_cell_angle_beta 96.30
_cell_angle_gamma 90.00
loop_
_symmetry_equiv_pos_as_xyz
'x,y,z'
'-x,-y,-z'
'-x,y,-z+1/2'
'x,-y,z+1/2'
'x+1/2,y+1/2,z'
'-x+1/2,-y+1/2,-z'
'-x+1/2,y+1/2,-z+1/2'
'x+1/2,-y+1/2,z+1/2'
loop_
_atom_site_label
_atom_site_type_symbol
_atom_site_fract_x
_atom_site_fract_y
_atom_site_fract_z
_atom_site_occupancy
Tb1 Tb 0.0000 0.1009 0.2500 1
Pr1 Pr 0.0482 0.3604 0.5141 1
Pr2 Pr 0.1188 0.1397 0.8192 1
Pr3 Pr 0.2152 0.1399 0.3472 1
Dy1 Dy 0.1665 0.3991 0.0838 1
# D(E_F) = 50.9 states/eV per cell
# ρ = 7.1 g cm⁻³



*ii* has the most favorable energy; the next structure is 47 meV/atom above.



*i*
# Tb9Pr2Dy (PBE-GGA, relaxed)
data_Tb9Pr2Dy
_chemical_formula_sum 'Tb9 Pr2 Dy1'
_symmetry_space_group_name_H-M 'P 6/m m m'
_symmetry_Int_Tables_number 191
_symmetry_space_group_name_Hall '-P 6 2'
_cell_length_a 11.3436
_cell_length_b 11.3436
_cell_length_c 3.5015
_cell_angle_alpha 90.00
_cell_angle_beta 90.00
_cell_angle_gamma 120.00
loop_
_atom_site_label
_atom_site_type_symbol
_atom_site_fract_x
_atom_site_fract_y
_atom_site_fract_z
_atom_site_occupancy
Tb1 Tb 0.0000 0.5000 0.0000 1
Tb2 Tb 0.1725 0.3450 0.5000 1
Pr1 Pr 0.3333 0.6667 0.0000 1
Dy1 Dy 0.0000 0.0000 0.0000 1
# D(E_F) = 17.8 states/eV per cell
# ρ = 8.0 g cm⁻³



*ii*
# Tb9Pr2Dy (PBE-GGA, relaxed)
data_Tb9Pr2Dy
_chemical_formula_sum 'Tb9 Pr2 Dy1'
_symmetry_space_group_name_H-M 'P 4/m m m'
_symmetry_Int_Tables_number 123
_symmetry_space_group_name_Hall '-P 4 2'
_cell_length_a 5.0688
_cell_length_b 5.0688
_cell_length_c 15.2054
_cell_angle_alpha 90.00
_cell_angle_beta 90.00
_cell_angle_gamma 90.00
loop_
_atom_site_label
_atom_site_type_symbol
_atom_site_fract_x
_atom_site_fract_y
_atom_site_fract_z
_atom_site_occupancy
Tb1 Tb 0.0000 0.0000 0.0000 1
Tb2 Tb 0.0000 0.0000 0.3319 1
Tb3 Tb 0.0000 0.5000 0.1641 1
Tb4 Tb 0.0000 0.5000 0.5000 1
Pr1 Pr 0.5000 0.5000 0.3324 1
Dy1 Dy 0.5000 0.5000 0.0000 1
# D(E_F) = 18.1 states/eV per cell
# ρ = 8.0 g cm⁻³



*ii* has the most favorable energy; the next structure is 46 meV/atom above.



*i*
# TbPrDy4 (PBE-GGA, relaxed)
data_TbPrDy4
_chemical_formula_sum 'Tb4 Pr4 Dy16'
_symmetry_space_group_name_H-M 'F -4 3 m'
_symmetry_Int_Tables_number 216
_symmetry_space_group_name_Hall 'F -4 2 3'
_cell_length_a 9.3448
_cell_length_b 9.3448
_cell_length_c 9.3448
_cell_angle_alpha 90.00
_cell_angle_beta 90.00
_cell_angle_gamma 90.00
loop_
_atom_site_label
_atom_site_type_symbol
_atom_site_fract_x
_atom_site_fract_y
_atom_site_fract_z
_atom_site_occupancy
Tb1 Tb 0.0000 0.0000 0.0000 1
Pr1 Pr 0.2500 0.2500 0.2500 1
Dy1 Dy 0.1254 0.1254 0.6254 1
# D(E_F) = 49.6 states/eV per cell
# ρ = 7.7 g cm⁻³



*ii*
# TbPrDy4 (PBE-GGA, relaxed)
data_TbPrDy4
_chemical_formula_sum 'Tb4 Pr4 Dy16'
_symmetry_space_group_name_H-M 'C 1 2/c 1'
_symmetry_Int_Tables_number 15
_cell_length_a 8.7982
_cell_length_b 17.2652
_cell_length_c 6.3801
_cell_angle_alpha 90.00
_cell_angle_beta 126.34
_cell_angle_gamma 90.00
loop_
_symmetry_equiv_pos_as_xyz
'x,y,z'
'-x,-y,-z'
'-x,y,-z+1/2'
'x,-y,z+1/2'
'x+1/2,y+1/2,z'
'-x+1/2,-y+1/2,-z'
'-x+1/2,y+1/2,-z+1/2'
'x+1/2,-y+1/2,z+1/2'
loop_
_atom_site_label
_atom_site_type_symbol
_atom_site_fract_x
_atom_site_fract_y
_atom_site_fract_z
_atom_site_occupancy
Tb1 Tb 0.0000 0.0762 0.2500 1
Pr1 Pr 0.0000 0.4436 0.2500 1
Dy1 Dy 0.0811 0.2590 0.5585 1
Dy2 Dy 0.2378 0.1082 0.9769 1
# D(E_F) = 31.8 states/eV per cell
# ρ = 8.1 g cm⁻³



*ii* has the most favorable energy; the next structure is 190 meV/atom above.



*i*
# Tb4Pr5Dy2 (PBE-GGA, relaxed)
data_Tb4Pr5Dy2
_chemical_formula_sum 'Tb8 Pr10 Dy4'
_symmetry_space_group_name_H-M 'I m m m'
_symmetry_Int_Tables_number 71
_symmetry_space_group_name_Hall '-I 2 2'
_cell_length_a 3.5460
_cell_length_b 9.2638
_cell_length_c 23.6613
_cell_angle_alpha 90.00
_cell_angle_beta 90.00
_cell_angle_gamma 90.00
loop_
_atom_site_label
_atom_site_type_symbol
_atom_site_fract_x
_atom_site_fract_y
_atom_site_fract_z
_atom_site_occupancy
Tb1 Tb 0.0000 0.0000 0.0966 1
Tb2 Tb 0.0000 0.3109 0.5000 1
Pr1 Pr 0.0000 0.2023 0.3522 1
Pr2 Pr 0.0000 0.5000 0.0000 1
Dy1 Dy 0.0000 0.0000 0.2302 1
# D(E_F) = 35.1 states/eV per cell
# ρ = 7.1 g cm⁻³



*ii*
# Tb4Pr5Dy2 (PBE-GGA, relaxed)
data_Tb4Pr5Dy2
_chemical_formula_sum 'Tb8 Pr10 Dy4'
_symmetry_space_group_name_H-M 'C 1 2/m 1'
_symmetry_Int_Tables_number 12
_cell_length_a 17.8693
_cell_length_b 3.5742
_cell_length_c 11.7269
_cell_angle_alpha 90.00
_cell_angle_beta 93.98
_cell_angle_gamma 90.00
loop_
_symmetry_equiv_pos_as_xyz
'x,y,z'
'-x,-y,-z'
'-x,y,-z'
'x,-y,z'
'x+1/2,y+1/2,z'
'-x+1/2,-y+1/2,-z'
'-x+1/2,y+1/2,-z'
'x+1/2,-y+1/2,z'
loop_
_atom_site_label
_atom_site_type_symbol
_atom_site_fract_x
_atom_site_fract_y
_atom_site_fract_z
_atom_site_occupancy
Tb1 Tb 0.0360 0.0000 0.2613 1
Tb2 Tb 0.1406 0.5000 0.7956 1
Pr1 Pr 0.0000 0.5000 0.0000 1
Pr2 Pr 0.0968 0.0000 0.5363 1
Pr3 Pr 0.1771 0.0000 0.0721 1
Dy1 Dy 0.2160 0.5000 0.3544 1
# D(E_F) = 31.3 states/eV per cell
# ρ = 7.4 g cm⁻³



*ii* has the most favorable energy; the next structure is 124 meV/atom above.



*i*
# Tb2Pr5Dy3 (PBE-GGA, relaxed)
data_Tb2Pr5Dy3
_chemical_formula_sum 'Tb8 Pr20 Dy12'
_symmetry_space_group_name_H-M 'I b a m'
_symmetry_Int_Tables_number 72
_symmetry_space_group_name_Hall '-I 2 2c'
_cell_length_a 9.4919
_cell_length_b 13.7785
_cell_length_c 11.0542
_cell_angle_alpha 90.00
_cell_angle_beta 90.00
_cell_angle_gamma 90.00
loop_
_atom_site_label
_atom_site_type_symbol
_atom_site_fract_x
_atom_site_fract_y
_atom_site_fract_z
_atom_site_occupancy
Tb1 Tb 0.0878 0.1186 0.0000 1
Pr1 Pr 0.0000 0.2461 0.2500 1
Pr2 Pr 0.0000 0.5000 0.2500 1
Pr3 Pr 0.1044 0.3703 0.5000 1
Dy1 Dy 0.0000 0.0000 0.2500 1
Dy2 Dy 0.2488 0.3767 0.0000 1
# D(E_F) = 57.4 states/eV per cell
# ρ = 6.9 g cm⁻³



*ii*
# Tb2Pr5Dy3 (PBE-GGA, relaxed)
data_Tb2Pr5Dy3
_chemical_formula_sum 'Tb8 Pr20 Dy12'
_symmetry_space_group_name_H-M 'C 1 2/c 1'
_symmetry_Int_Tables_number 15
_cell_length_a 10.8217
_cell_length_b 14.9250
_cell_length_c 10.1262
_cell_angle_alpha 90.00
_cell_angle_beta 122.30
_cell_angle_gamma 90.00
loop_
_symmetry_equiv_pos_as_xyz
'x,y,z'
'-x,-y,-z'
'-x,y,-z+1/2'
'x,-y,z+1/2'
'x+1/2,y+1/2,z'
'-x+1/2,-y+1/2,-z'
'-x+1/2,y+1/2,-z+1/2'
'x+1/2,-y+1/2,z+1/2'
loop_
_atom_site_label
_atom_site_type_symbol
_atom_site_fract_x
_atom_site_fract_y
_atom_site_fract_z
_atom_site_occupancy
Tb1 Tb 0.1549 0.1215 0.0588 1
Pr1 Pr 0.0000 0.2280 0.2500 1
Pr2 Pr 0.0000 0.2684 0.7500 1
Pr3 Pr 0.0000 0.4782 0.7500 1
Pr4 Pr 0.2471 0.1207 0.7453 1
Dy1 Dy 0.0000 0.0215 0.2500 1
Dy2 Dy 0.1539 0.3754 0.5574 1
# D(E_F) = 68.8 states/eV per cell
# ρ = 7.3 g cm⁻³



*ii* has the most favorable energy; the next structure is 187 meV/atom above.



*i*
# Tb7Pr12Dy (PBE-GGA, relaxed)
data_Tb7Pr12Dy
_chemical_formula_sum 'Tb21 Pr36 Dy3'
_symmetry_space_group_name_H-M 'R -3'
_symmetry_Int_Tables_number 148
_symmetry_space_group_name_Hall '-R 3'
_cell_length_a 19.7347
_cell_length_b 19.7347
_cell_length_c 6.3043
_cell_angle_alpha 90.00
_cell_angle_beta 90.00
_cell_angle_gamma 120.00
loop_
_atom_site_label
_atom_site_type_symbol
_atom_site_fract_x
_atom_site_fract_y
_atom_site_fract_z
_atom_site_occupancy
Tb1 Tb 0.0000 0.0000 0.0000 1
Tb2 Tb 0.0815 0.1637 0.2951 1
Pr1 Pr 0.9998 0.4114 0.9992 1
Pr2 Pr 0.0978 0.5485 0.4678 1
Dy1 Dy 0.0000 0.0000 0.5000 1
# D(E_F) = 82.3 states/eV per cell
# ρ = 6.9 g cm⁻³



*ii*
# Tb7Pr12Dy (PBE-GGA, relaxed)
data_Tb7Pr12Dy
_chemical_formula_sum 'Tb21 Pr36 Dy3'
_symmetry_space_group_name_H-M 'R -3'
_symmetry_Int_Tables_number 148
_symmetry_space_group_name_Hall '-R 3'
_cell_length_a 15.3559
_cell_length_b 15.3559
_cell_length_c 10.2408
_cell_angle_alpha 90.00
_cell_angle_beta 90.00
_cell_angle_gamma 120.00
loop_
_atom_site_label
_atom_site_type_symbol
_atom_site_fract_x
_atom_site_fract_y
_atom_site_fract_z
_atom_site_occupancy
Tb1 Tb 0.0000 0.0000 0.0000 1
Tb2 Tb 0.0667 0.2447 0.4264 1
Pr1 Pr 0.0431 0.1978 0.7513 1
Pr2 Pr 0.0450 0.2486 0.0751 1
Dy1 Dy 0.0000 0.0000 0.5000 1
# D(E_F) = 100.2 states/eV per cell
# ρ = 7.1 g cm⁻³



*ii* has the most favorable energy; the next structure is 78 meV/atom above.



*i*
# TbPr2Dy8 (PBE-GGA, relaxed)
data_TbPr2Dy8
_chemical_formula_sum 'Tb2 Pr4 Dy16'
_symmetry_space_group_name_H-M 'C 1 2/m 1'
_symmetry_Int_Tables_number 12
_cell_length_a 9.0572
_cell_length_b 16.1034
_cell_length_c 5.9222
_cell_angle_alpha 90.00
_cell_angle_beta 122.88
_cell_angle_gamma 90.00
loop_
_symmetry_equiv_pos_as_xyz
'x,y,z'
'-x,-y,-z'
'-x,y,-z'
'x,-y,z'
'x+1/2,y+1/2,z'
'-x+1/2,-y+1/2,-z'
'-x+1/2,y+1/2,-z'
'x+1/2,-y+1/2,z'
loop_
_atom_site_label
_atom_site_type_symbol
_atom_site_fract_x
_atom_site_fract_y
_atom_site_fract_z
_atom_site_occupancy
Tb1 Tb 0.0000 0.0000 0.0000 1
Pr1 Pr 0.0000 0.3065 0.5000 1
Dy1 Dy 0.0000 0.2073 0.0000 1
Dy2 Dy 0.0737 0.5000 0.7966 1
Dy3 Dy 0.2139 0.1152 0.6728 1
# D(E_F) = 29.7 states/eV per cell
# ρ = 8.0 g cm⁻³



*ii*
# TbPr2Dy8 (PBE-GGA, relaxed)
data_TbPr2Dy8
_chemical_formula_sum 'Tb1 Pr2 Dy8'
_symmetry_space_group_name_H-M 'P -1'
_symmetry_Int_Tables_number 2
_cell_length_a 6.1885
_cell_length_b 6.1923
_cell_length_c 9.4640
_cell_angle_alpha 90.04
_cell_angle_beta 96.34
_cell_angle_gamma 99.53
loop_
_symmetry_equiv_pos_as_xyz
'x,y,z'
'-x,-y,-z'
loop_
_atom_site_label
_atom_site_type_symbol
_atom_site_fract_x
_atom_site_fract_y
_atom_site_fract_z
_atom_site_occupancy
Tb1 Tb 0.0000 0.0000 0.0000 1
Pr1 Pr 0.3622 0.7266 0.4540 1
Dy1 Dy 0.0884 0.1812 0.3610 1
Dy2 Dy 0.1827 0.3618 0.7307 1
Dy3 Dy 0.2724 0.5458 0.0899 1
Dy4 Dy 0.4556 0.9075 0.8211 1
# D(E_F) = 15.5 states/eV per cell
# ρ = 8.1 g cm⁻³



*ii* has the most favorable energy; the next structure is 137 meV/atom above.